Entry 1:
Density functional theory data (PBE) for crystalline Pm6GaOs2I3 at its relaxed geometry.

Computed properties:
The uncorrected formation energy comes out at -637 meV/atom.

CIF file:
```
data_Pm6GaOs2I3
_chemical_formula_sum 'Pm12 Ga2 Os4 I6'
_cell_length_a 7.3221
_cell_length_b 12.6952
_cell_length_c 8.4174
_cell_angle_alpha 90.00
_cell_angle_beta 106.95
_cell_angle_gamma 90.00
_symmetry_space_group_name_H-M 'C 1 2/m 1'
_symmetry_Int_Tables_number 12
_symmetry_space_group_name_Hall '-C 2y'
loop_
_atom_site_label
_atom_site_fract_x
_atom_site_fract_y
_atom_site_fract_z
Pm1 0.2083 0.0000 0.1888
Pm2 0.2405 0.3223 0.1890
Ga1 0.0000 0.5000 0.0000
Os1 0.0000 0.1666 0.0000
I1 0.0000 0.0000 0.5000
I2 0.0000 0.3359 0.5000
```


Entry 2:
Density functional theory data (PBE) for crystalline Pm8GaOs3I4 at its relaxed geometry.

Computed properties:
The uncorrected formation energy comes out at -604 meV/atom.

CIF file:
```
data_Pm8GaOs3I4
_chemical_formula_sum 'Pm24 Ga3 Os9 I12'
_cell_length_a 8.4444
_cell_length_b 8.4444
_cell_length_c 24.1121
_cell_angle_alpha 90.00
_cell_angle_beta 90.00
_cell_angle_gamma 120.00
_symmetry_space_group_name_H-M 'R -3 m'
_symmetry_Int_Tables_number 166
_symmetry_space_group_name_Hall '-R 3 2"'
loop_
_atom_site_label
_atom_site_fract_x
_atom_site_fract_y
_atom_site_fract_z
Pm1 0.0000 0.0000 0.2303
Pm2 0.0168 0.5084 0.7720
Ga1 0.0000 0.0000 0.5000
Os1 0.0000 0.5000 0.5000
I1 0.0000 0.0000 0.0000
I2 0.0000 0.5000 0.0000
```


Entry 3:
Density functional theory data (PBE) for crystalline Pr8GaOs3I4 at its relaxed geometry.

Computed properties:
The uncorrected formation energy comes out at -595 meV/atom.

CIF file:
```
data_Pr8GaOs3I4
_chemical_formula_sum 'Pr24 Ga3 Os9 I12'
_cell_length_a 8.5566
_cell_length_b 8.5566
_cell_length_c 24.4463
_cell_angle_alpha 90.00
_cell_angle_beta 90.00
_cell_angle_gamma 120.00
_symmetry_space_group_name_H-M 'R -3 m'
_symmetry_Int_Tables_number 166
_symmetry_space_group_name_Hall '-R 3 2"'
loop_
_atom_site_label
_atom_site_fract_x
_atom_site_fract_y
_atom_site_fract_z
Pr1 0.0000 0.0000 0.2307
Pr2 0.0166 0.5083 0.7718
Ga1 0.0000 0.0000 0.5000
Os1 0.0000 0.5000 0.5000
I1 0.0000 0.0000 0.0000
I2 0.0000 0.5000 0.0000
```


Entry 4:
Density functional theory data (PBE) for crystalline Pr6GaOs2I3 at its relaxed geometry.

Computed properties:
The uncorrected formation energy comes out at -628 meV/atom.

CIF file:
```
data_Pr6GaOs2I3
_chemical_formula_sum 'Pr12 Ga2 Os4 I6'
_cell_length_a 7.4265
_cell_length_b 12.8746
_cell_length_c 8.5280
_cell_angle_alpha 90.00
_cell_angle_beta 106.98
_cell_angle_gamma 90.00
_symmetry_space_group_name_H-M 'C 1 2/m 1'
_symmetry_Int_Tables_number 12
_symmetry_space_group_name_Hall '-C 2y'
loop_
_atom_site_label
_atom_site_fract_x
_atom_site_fract_y
_atom_site_fract_z
Pr1 0.2088 0.0000 0.1892
Pr2 0.2405 0.3225 0.1895
Ga1 0.0000 0.5000 0.0000
Os1 0.0000 0.1666 0.0000
I1 0.0000 0.0000 0.5000
I2 0.0000 0.3360 0.5000
```


Entry 5:
Density functional theory data (PBE) for crystalline GaReOsI2 at its relaxed geometry.

Computed properties:
The uncorrected formation energy comes out at 2513 meV/atom.

CIF file:
```
data_GaReOsI2
_chemical_formula_sum 'Ga1 Re1 Os1 I2'
_cell_length_a 5.2204
_cell_length_b 5.2204
_cell_length_c 4.7034
_cell_angle_alpha 90.00
_cell_angle_beta 90.00
_cell_angle_gamma 90.00
_symmetry_space_group_name_H-M 'P 4/m m m'
_symmetry_Int_Tables_number 123
_symmetry_space_group_name_Hall '-P 4 2'
loop_
_atom_site_label
_atom_site_fract_x
_atom_site_fract_y
_atom_site_fract_z
Ga1 0.0000 0.0000 0.0000
Re1 0.5000 0.5000 0.5000
Os1 0.0000 0.0000 0.5000
I1 0.0000 0.5000 0.0000
```


Entry 6:
Density functional theory data (PBE) for crystalline GaSbOsI2 at its relaxed geometry.

Computed properties:
The uncorrected formation energy comes out at 1474 meV/atom. As for the energy above the lowest structure with this stoichiometry: 4.55 eV/f.u.

CIF file:
```
data_GaSbOsI2
_chemical_formula_sum 'Ga1 Sb1 Os1 I2'
_cell_length_a 5.4437
_cell_length_b 5.4437
_cell_length_c 5.5004
_cell_angle_alpha 90.00
_cell_angle_beta 90.00
_cell_angle_gamma 90.00
_symmetry_space_group_name_H-M 'P 4/m m m'
_symmetry_Int_Tables_number 123
_symmetry_space_group_name_Hall '-P 4 2'
loop_
_atom_site_label
_atom_site_fract_x
_atom_site_fract_y
_atom_site_fract_z
Ga1 0.0000 0.0000 0.0000
Sb1 0.0000 0.0000 0.5000
Os1 0.5000 0.5000 0.5000
I1 0.0000 0.5000 0.0000
```


Entry 7:
Density functional theory data (PBE) for crystalline GaSb2OsI at its relaxed geometry.

Computed properties:
The uncorrected formation energy comes out at 565 meV/atom. As for the energy above the lowest structure with this stoichiometry: 0.00 eV/f.u.

CIF file:
```
data_GaSb2OsI
_chemical_formula_sum 'Ga1 Sb2 Os1 I1'
_cell_length_a 5.0711
_cell_length_b 5.0711
_cell_length_c 6.0185
_cell_angle_alpha 90.00
_cell_angle_beta 90.00
_cell_angle_gamma 90.00
_symmetry_space_group_name_H-M 'P 4/m m m'
_symmetry_Int_Tables_number 123
_symmetry_space_group_name_Hall '-P 4 2'
loop_
_atom_site_label
_atom_site_fract_x
_atom_site_fract_y
_atom_site_fract_z
Ga1 0.0000 0.0000 0.0000
Sb1 0.0000 0.5000 0.5000
Os1 0.5000 0.5000 0.5000
I1 0.5000 0.5000 0.0000
```


Entry 8:
Density functional theory data (PBE) for crystalline GaSb2OsI at its relaxed geometry.

Computed properties:
The uncorrected formation energy comes out at 1573 meV/atom. As for the energy above the lowest structure with this stoichiometry: 5.04 eV/f.u.

CIF file:
```
data_GaSb2OsI
_chemical_formula_sum 'Ga1 Sb2 Os1 I1'
_cell_length_a 5.2767
_cell_length_b 5.2767
_cell_length_c 5.2864
_cell_angle_alpha 90.00
_cell_angle_beta 90.00
_cell_angle_gamma 90.00
_symmetry_space_group_name_H-M 'P 4/m m m'
_symmetry_Int_Tables_number 123
_symmetry_space_group_name_Hall '-P 4 2'
loop_
_atom_site_label
_atom_site_fract_x
_atom_site_fract_y
_atom_site_fract_z
Ga1 0.0000 0.0000 0.0000
Sb1 0.0000 0.5000 0.0000
Os1 0.5000 0.5000 0.5000
I1 0.0000 0.0000 0.5000
```